Record 1
Material: CsBaAg
Method: DFT, GGA-PBE
State: relaxed

Lattice parameters (Å, degrees): 5.7015 5.7015 5.7015 60.00 60.00 60.00
Last column: nearest neighbours and their distance in Å.
Atoms (fractional coordinates):
Cs  0.0000  0.0000  0.0000  4 Ba 3.49, 4 Ag 3.49
Ba  0.2500  0.2500  0.2500  4 Cs 3.49
Ag  0.7500  0.7500  0.7500  4 Cs 3.49

Computed properties:
Its space group is F-43m.

---

Record 2
Material: CsBaAg
Method: DFT, GGA-PBE
State: relaxed

Lattice parameters (Å, degrees): 6.0001 6.0001 6.0001 60.00 60.00 60.00
Last column: nearest neighbours and their distance in Å.
Atoms (fractional coordinates):
Cs  0.0000  0.0000  0.0000  4 Ag 3.67
Ba  0.5000  0.5000  0.5000  4 Ag 3.67
Ag  0.7500  0.7500  0.7500  4 Ba 3.67, 4 Cs 3.67

Computed properties:
Its space group is F-43m.

---

VASP energy
In order: -1.4477; -1.8140
Unit: eV per atom
Distance to the lowest polymorph of the same formula
In order: 1.10; 0.00
Unit: eV/f.u.